Entry 1:
## Tl3RhF8 (GGA-PBE)

Data for an optimized crystal structure of Tl3RhF8.

total DFT energy (no corrections): -47.86 eV/f.u.
V: 188 Å³ per cell
symmetry: I4/mmm (139)
raw formation energy: -1.536 eV/atom

a = 6.9126 Å, b = 6.9126 Å, c = 6.9126 Å
α = 130.24°, β = 130.24°, γ = 73.02°
Sites, in units of the cell vectors:
Tl1 0.0000 0.0000 0.0000
Tl2 0.2500 0.7500 0.5000
Tl3 0.7500 0.2500 0.5000
Rh1 0.5000 0.5000 0.0000
F1 0.1440 0.1440 0.5473
F2 0.1440 0.5967 0.0000
F3 0.4033 0.4033 0.5473
F4 0.4033 0.8560 0.0000
F5 0.5967 0.1440 0.0000
F6 0.5967 0.5967 0.4527
F7 0.8560 0.4033 0.0000
F8 0.8560 0.8560 0.4527

***

Entry 2:
## TlZnRhF6 (GGA-PBE)

Data for an optimized crystal structure of TlZnRhF6.

total DFT energy (no corrections): -39.16 eV/f.u.
V: 293 Å³ per cell
symmetry: Imma (74)
raw formation energy: -1.882 eV/atom

a = 7.4914 Å, b = 7.4914 Å, c = 7.4914 Å
α = 120.90°, β = 120.88°, γ = 88.47°
Sites, in units of the cell vectors:
Tl1 0.3307 0.0807 0.2500
Tl2 0.6693 0.9193 0.7500
Zn1 0.0000 0.0000 0.5000
Zn2 0.0000 0.5000 0.0000
Rh1 0.0000 0.5000 0.5000
Rh2 0.5000 0.5000 0.0000
F1 0.0703 0.8203 0.2500
F2 0.0724 0.4164 0.2491
F3 0.0724 0.8232 0.6560
F4 0.3245 0.5745 0.7500
F5 0.3327 0.1768 0.7491
F6 0.3327 0.5836 0.1560
F7 0.6673 0.4164 0.8440
F8 0.6673 0.8232 0.2509
F9 0.6755 0.4255 0.2500
F10 0.9276 0.1768 0.3440
F11 0.9276 0.5836 0.7509
F12 0.9297 0.1797 0.7500

***

Entry 3:
## Tl2ZnRh3F12 (GGA-PBE)

Data for an optimized crystal structure of Tl2ZnRh3F12.

total DFT energy (no corrections): -80.76 eV/f.u.
V: 300 Å³ per cell
symmetry: R-3m (166)
raw formation energy: -1.680 eV/atom

a = 7.4760 Å, b = 7.4760 Å, c = 7.4760 Å
α = 60.68°, β = 60.68°, γ = 60.68°
Sites, in units of the cell vectors:
Tl1 0.1517 0.1517 0.1517
Tl2 0.8483 0.8483 0.8483
Zn1 0.5000 0.5000 0.5000
Rh1 0.0000 0.5000 0.5000
Rh2 0.5000 0.0000 0.5000
Rh3 0.5000 0.5000 0.0000
F1 0.1723 0.1723 0.5683
F2 0.1723 0.5683 0.1723
F3 0.1739 0.5758 0.5758
F4 0.4242 0.4242 0.8261
F5 0.4242 0.8261 0.4242
F6 0.4317 0.8277 0.8277
F7 0.5683 0.1723 0.1723
F8 0.5758 0.1739 0.5758
F9 0.5758 0.5758 0.1739
F10 0.8261 0.4242 0.4242
F11 0.8277 0.4317 0.8277
F12 0.8277 0.8277 0.4317

***

Entry 4:
## Tl2Zn3RhF12 (GGA-PBE)

Data for an optimized crystal structure of Tl2Zn3RhF12.

total DFT energy (no corrections): -74.23 eV/f.u.
V: 298 Å³ per cell
symmetry: R-3m (166)
raw formation energy: -1.992 eV/atom

a = 7.6698 Å, b = 7.6698 Å, c = 7.6698 Å
α = 57.19°, β = 57.19°, γ = 57.19°
Sites, in units of the cell vectors:
Tl1 0.0972 0.0972 0.0972
Tl2 0.9028 0.9028 0.9028
Zn1 0.0000 0.5000 0.5000
Zn2 0.5000 0.0000 0.5000
Zn3 0.5000 0.5000 0.0000
Rh1 0.5000 0.5000 0.5000
F1 0.1739 0.1739 0.5793
F2 0.1739 0.5793 0.1739
F3 0.1877 0.5714 0.5714
F4 0.4207 0.8261 0.8261
F5 0.4286 0.4286 0.8123
F6 0.4286 0.8123 0.4286
F7 0.5714 0.1877 0.5714
F8 0.5714 0.5714 0.1877
F9 0.5793 0.1739 0.1739
F10 0.8123 0.4286 0.4286
F11 0.8261 0.4207 0.8261
F12 0.8261 0.8261 0.4207

***

Entry 5:
## Tm2RhF (GGA-PBE)

Data for an optimized crystal structure of Tm2RhF.

total DFT energy (no corrections): -24.56 eV/f.u.
V: 80 Å³ per cell
symmetry: R-3m (166)
raw formation energy: -1.598 eV/atom

a = 6.6180 Å, b = 6.6180 Å, c = 6.6180 Å
α = 33.79°, β = 33.79°, γ = 33.79°
Sites, in units of the cell vectors:
Tm1 0.2493 0.2493 0.2493
Tm2 0.7507 0.7507 0.7507
Rh1 0.5000 0.5000 0.5000
F1 0.0000 0.0000 0.0000